Record 1
This record from the Alexandria database describes SnH7Cl3O4 at its PBEsol-relaxed geometry. The functional is SCAN.

Lattice parameters (Å, degrees): 6.228 9.761 12.254 94.45 90.00 90.00
Element x y z (fractional)
1 O 0.691 0.016 0.468
2 Cl 0.583 0.212 0.682
3 H 0.190 0.079 0.322
4 H 0.361 0.467 0.251
5 O 0.465 0.496 0.194
6 H 0.810 0.921 0.678
7 Cl 0.380 0.790 0.030
8 Sn 0.456 0.168 0.495
9 O 0.965 0.004 0.306
10 H 0.561 0.901 0.727
11 Cl 0.917 0.712 0.182
12 H 0.804 0.014 0.408
13 H 0.196 0.986 0.592
14 H 0.076 0.544 0.346
15 Cl 0.620 0.210 0.970
16 H 0.310 0.579 0.822
17 O 0.667 0.870 0.667
18 Cl 0.417 0.788 0.318
19 O 0.333 0.130 0.333
20 Cl 0.120 0.290 0.530
21 H 0.639 0.533 0.749
22 H 0.304 0.486 0.092
23 O 0.881 0.549 0.683
24 O 0.535 0.504 0.806
25 H 0.624 0.105 0.119
26 H 0.995 0.906 0.283
27 Cl 0.645 0.351 0.426
28 H 0.139 0.967 0.751
29 Sn 0.044 0.668 0.995
30 H 0.424 0.044 0.846
31 O 0.619 0.049 0.183
32 H 0.576 0.956 0.154
33 H 0.061 0.599 0.773
34 O 0.167 0.630 0.833
35 H 0.861 0.033 0.249
36 H 0.124 0.395 0.381
37 H 0.924 0.456 0.654
38 O 0.833 0.370 0.167
39 H 0.505 0.406 0.783
40 Cl 0.145 0.149 0.074
41 O 0.309 0.984 0.532
42 Cl 0.083 0.288 0.818
43 O 0.119 0.451 0.317
44 H 0.005 0.094 0.717
45 H 0.376 0.895 0.881
46 O 0.381 0.951 0.817
47 H 0.439 0.099 0.273
48 Sn 0.544 0.832 0.505
49 H 0.495 0.594 0.217
50 H 0.939 0.401 0.227
51 Cl 0.355 0.649 0.574
52 H 0.696 0.514 0.908
53 Sn 0.956 0.332 0.005
54 O 0.191 0.484 0.032
55 O 0.809 0.516 0.968
56 O 0.035 0.996 0.694
57 Cl 0.880 0.710 0.470
58 Cl 0.855 0.851 0.926
59 H 0.690 0.421 0.178
60 H 0.876 0.605 0.619

Results
Theoretical density: 2.6 g cm⁻³
DFT total energy: -8.371 eV/atom


Record 2
This record from the Alexandria database describes Sn21H14Cl16O20 at its PBEsol-relaxed geometry. The functional is SCAN.

Lattice parameters (Å, degrees): 9.921 9.921 15.484 71.31 71.31 60.00
Element x y z (fractional)
1 H 0.177 0.177 0.469
2 Sn 0.904 0.317 0.608
3 Cl 0.061 0.739 0.802
4 Cl 0.739 0.398 0.802
5 Cl 0.939 0.602 0.198
6 H 0.481 0.598 0.616
7 Sn 0.933 0.933 0.201
8 O 0.431 0.619 0.680
9 O 0.167 0.495 0.995
10 Sn 0.592 0.592 0.224
11 H 0.548 0.860 0.042
12 O 0.954 0.082 0.690
13 Cl 0.370 0.705 0.882
14 Sn 0.493 0.986 0.285
15 Sn 0.698 0.698 0.907
16 H 0.402 0.519 0.384
17 Sn 0.067 0.067 0.799
18 Cl 0.500 0.869 0.500
19 O 0.918 0.046 0.310
20 Sn 0.317 0.172 0.608
21 H 0.695 0.402 0.384
22 H 0.823 0.823 0.531
23 Sn 0.736 0.264 0.000
24 O 0.269 0.431 0.680
25 O 0.082 0.274 0.690
26 Sn 0.236 0.493 0.285
27 O 0.846 0.846 0.463
28 H 0.860 0.549 0.042
29 O 0.505 0.833 0.005
30 O 0.569 0.731 0.320
31 Cl 0.131 0.500 0.500
32 H 0.452 0.451 0.958
33 H 0.451 0.140 0.958
34 H 0.305 0.481 0.616
35 O 0.046 0.726 0.310
36 Cl 0.630 0.958 0.118
37 Sn 0.302 0.302 0.093
38 O 0.726 0.918 0.310
39 Sn 0.986 0.236 0.285
40 H 0.598 0.305 0.616
41 Cl 0.602 0.261 0.198
42 O 0.619 0.269 0.680
43 O 0.495 0.342 0.995
44 Sn 0.000 0.736 0.000
45 Cl 0.958 0.295 0.118
46 O 0.658 0.505 0.005
47 Sn 0.014 0.507 0.715
48 Sn 0.096 0.828 0.392
49 O 0.274 0.954 0.690
50 Cl 0.295 0.630 0.118
51 O 0.154 0.154 0.537
52 Sn 0.764 0.014 0.715
53 Cl 0.500 0.500 0.500
54 H 0.140 0.452 0.958
55 Cl 0.705 0.042 0.882
56 Sn 0.408 0.408 0.776
57 Cl 0.042 0.370 0.882
58 Sn 0.828 0.683 0.392
59 O 0.833 0.658 0.005
60 Cl 0.398 0.061 0.802
61 Sn 0.264 0.000 0.000
62 Cl 0.261 0.939 0.198
63 H 0.519 0.695 0.384
64 H 0.549 0.548 0.042
65 O 0.342 0.167 0.995
66 Sn 0.507 0.764 0.715
67 Cl 0.869 0.131 0.500
68 O 0.731 0.381 0.320
69 Sn 0.683 0.096 0.392
70 Sn 0.172 0.904 0.608
71 O 0.381 0.569 0.320

Results
Theoretical density: 4.6 g cm⁻³
DFT total energy: -16.035 eV/atom


Record 3
This record from the Alexandria database describes SnH6Cl4O3 at its PBEsol-relaxed geometry. The functional is SCAN.

Lattice parameters (Å, degrees): 6.210 11.210 11.813 90.00 90.82 90.00
Element x y z (fractional)
1 O 0.529 0.862 0.271
2 H 0.093 0.156 0.539
3 Cl 0.084 0.626 0.646
4 Sn 0.637 0.266 0.832
5 H 0.921 0.734 0.380
6 H 0.648 0.721 0.493
7 H 0.649 0.840 0.328
8 H 0.648 0.779 0.993
9 O 0.522 0.678 0.531
10 Cl 0.789 0.089 0.463
11 H 0.583 0.342 0.531
12 H 0.541 0.060 0.712
13 H 0.541 0.440 0.212
14 H 0.352 0.221 0.007
15 Cl 0.916 0.126 0.854
16 Sn 0.637 0.234 0.332
17 O 0.478 0.178 0.969
18 O 0.529 0.638 0.771
19 O 0.471 0.362 0.229
20 O 0.185 0.212 0.584
21 Cl 0.084 0.874 0.146
22 H 0.459 0.940 0.288
23 Sn 0.363 0.734 0.168
24 Cl 0.789 0.411 0.963
25 H 0.649 0.660 0.828
26 Cl 0.211 0.911 0.537
27 H 0.351 0.160 0.672
28 Cl 0.204 0.636 0.333
29 O 0.185 0.288 0.084
30 Cl 0.317 0.385 0.807
31 O 0.471 0.138 0.729
32 Sn 0.363 0.766 0.668
33 Cl 0.204 0.864 0.833
34 Cl 0.796 0.364 0.667
35 H 0.583 0.158 0.031
36 Cl 0.796 0.136 0.167
37 H 0.352 0.279 0.507
38 Cl 0.211 0.589 0.037
39 Cl 0.683 0.615 0.193
40 H 0.907 0.656 0.961
41 H 0.417 0.842 0.969
42 O 0.815 0.788 0.416
43 H 0.093 0.344 0.039
44 Cl 0.683 0.885 0.693
45 O 0.522 0.822 0.031
46 O 0.478 0.322 0.469
47 Cl 0.317 0.115 0.307
48 H 0.351 0.340 0.172
49 H 0.079 0.234 0.120
50 H 0.907 0.844 0.461
51 H 0.921 0.766 0.880
52 Cl 0.916 0.374 0.354
53 O 0.815 0.712 0.916
54 H 0.417 0.658 0.469
55 H 0.459 0.560 0.788
56 H 0.079 0.266 0.620

Results
Theoretical density: 2.5 g cm⁻³
DFT total energy: -8.731 eV/atom


Record 4
This record from the Alexandria database describes SrSn2H10Cl6O5 at its PBEsol-relaxed geometry. The functional is SCAN.

Lattice parameters (Å, degrees): 8.911 9.386 9.386 102.72 110.29 69.71
Element x y z (fractional)
1 H 0.422 0.894 0.341
2 H 0.126 0.752 0.053
3 H 0.578 0.106 0.659
4 H 0.626 0.947 0.248
5 Cl 0.194 0.557 0.175
6 O 0.934 0.170 0.021
7 H 0.548 0.122 0.233
8 O 0.566 0.021 0.170
9 H 0.078 0.341 0.894
10 H 0.226 0.931 0.304
11 Cl 0.607 0.309 0.427
12 H 0.874 0.248 0.947
13 H 0.774 0.069 0.696
14 Sr 0.250 0.011 0.011
15 H 0.374 0.053 0.752
16 H 0.274 0.304 0.931
17 H 0.952 0.233 0.122
18 H 0.922 0.659 0.106
19 Sr 0.750 0.989 0.989
20 O 0.066 0.830 0.979
21 Sn 0.524 0.538 0.262
22 Cl 0.694 0.825 0.443
23 O 0.750 0.776 0.776
24 Cl 0.475 0.680 0.976
25 O 0.681 0.110 0.743
26 Cl 0.393 0.691 0.573
27 H 0.048 0.767 0.878
28 Sn 0.976 0.262 0.538
29 Cl 0.975 0.024 0.320
30 O 0.319 0.890 0.257
31 Cl 0.806 0.443 0.825
32 Cl 0.107 0.573 0.691
33 Cl 0.893 0.427 0.309
34 O 0.250 0.224 0.224
35 H 0.273 0.216 0.333
36 Cl 0.306 0.175 0.557
37 H 0.773 0.667 0.784
38 O 0.819 0.743 0.110
39 Cl 0.525 0.320 0.024
40 O 0.181 0.257 0.890
41 H 0.452 0.878 0.767
42 Sn 0.024 0.738 0.462
43 H 0.727 0.784 0.667
44 Cl 0.025 0.976 0.680
45 H 0.227 0.333 0.216
46 Sn 0.476 0.462 0.738
47 H 0.726 0.696 0.069
48 O 0.434 0.979 0.830

Results
Theoretical density: 3.0 g cm⁻³
DFT total energy: -9.933 eV/atom


Record 5
This record from the Alexandria database describes SrH2Cl2O at its PBEsol-relaxed geometry. The functional is SCAN.

Lattice parameters (Å, degrees): 4.120 8.924 10.504 90.00 90.00 90.00
Element x y z (fractional)
1 Cl 0.250 0.120 0.102
2 H 0.750 0.148 0.577
3 O 0.750 0.414 0.157
4 Cl 0.250 0.380 0.602
5 O 0.750 0.086 0.657
6 O 0.250 0.914 0.343
7 Cl 0.250 0.678 0.121
8 Sr 0.250 0.405 0.310
9 H 0.250 0.852 0.423
10 Cl 0.750 0.322 0.879
11 Cl 0.250 0.822 0.621
12 Cl 0.750 0.620 0.398
13 H 0.250 0.648 0.923
14 H 0.750 0.982 0.626
15 H 0.750 0.352 0.077
16 H 0.250 0.482 0.874
17 Sr 0.750 0.595 0.690
18 Cl 0.750 0.880 0.898
19 H 0.750 0.518 0.126
20 Cl 0.750 0.178 0.379
21 Sr 0.250 0.095 0.810
22 Sr 0.750 0.905 0.190
23 H 0.250 0.018 0.374
24 O 0.250 0.586 0.843

Results
Theoretical density: 3.0 g cm⁻³
DFT total energy: -10.494 eV/atom


Record 6
This record from the Alexandria database describes SrH12Cl2O6 at its PBEsol-relaxed geometry. The functional is SCAN.

Lattice parameters (Å, degrees): 4.038 7.838 7.838 120.00 90.00 90.00
Element x y z (fractional)
1 O 0.000 0.000 0.675
2 H 0.485 0.641 0.757
3 H 0.103 0.450 0.350
4 H 0.897 0.100 0.650
5 H 0.515 0.359 0.116
6 H 0.515 0.757 0.641
7 O 0.500 0.000 0.224
8 Sr 0.000 0.000 0.000
9 H 0.897 0.350 0.450
10 Cl 0.409 0.667 0.333
11 H 0.515 0.884 0.243
12 O 0.000 0.675 0.000
13 H 0.103 0.650 0.100
14 H 0.485 0.116 0.359
15 O 0.500 0.776 0.776
16 H 0.485 0.243 0.884
17 O 0.000 0.325 0.325
18 H 0.103 0.900 0.550
19 H 0.897 0.550 0.900
20 Cl 0.591 0.333 0.667
21 O 0.500 0.224 0.000

Results
Theoretical density: 2.1 g cm⁻³
DFT total energy: -6.884 eV/atom


Record 7
This record from the Alexandria database describes SrHClO at its PBEsol-relaxed geometry. The functional is SCAN.

Lattice parameters (Å, degrees): 4.115 4.115 9.836 90.00 90.00 120.00
Element x y z (fractional)
1 Sr 0.667 0.333 0.303
2 Cl 0.667 0.333 0.992
3 H 0.000 0.000 0.637
4 H 0.000 0.000 0.137
5 O 0.000 0.000 0.237
6 Cl 0.333 0.667 0.492
7 Sr 0.333 0.667 0.803
8 O 0.000 0.000 0.737

Results
Theoretical density: 3.2 g cm⁻³
DFT total energy: -12.312 eV/atom


Record 8
This record from the Alexandria database describes VH12Cl3O6 at its PBEsol-relaxed geometry. The functional is SCAN.

Lattice parameters (Å, degrees): 6.193 6.423 11.546 97.14 90.00 90.00
Element x y z (fractional)
1 H 0.125 0.977 0.381
2 Cl 0.528 0.729 0.342
3 H 0.625 0.023 0.119
4 H 0.453 0.665 0.840
5 H 0.907 0.208 0.822
6 Cl 0.000 0.500 0.500
7 Cl 0.028 0.271 0.158
8 H 0.047 0.665 0.340
9 O 0.781 0.923 0.565
10 H 0.593 0.208 0.322
11 O 0.495 0.791 0.803
12 H 0.375 0.977 0.881
13 H 0.658 0.790 0.809
14 O 0.146 0.808 0.096
15 H 0.953 0.335 0.660
16 O 0.354 0.808 0.596
17 H 0.769 0.317 0.937
18 O 0.646 0.192 0.404
19 H 0.158 0.210 0.691
20 O 0.219 0.077 0.435
21 H 0.731 0.317 0.437
22 H 0.547 0.335 0.160
23 H 0.875 0.023 0.619
24 Cl 0.972 0.729 0.842
25 V 0.000 0.000 0.000
26 O 0.719 0.923 0.065
27 H 0.407 0.792 0.678
28 O 0.505 0.209 0.197
29 O 0.854 0.192 0.904
30 Cl 0.500 0.500 0.000
31 O 0.281 0.077 0.935
32 Cl 0.472 0.271 0.658
33 H 0.342 0.210 0.191
34 H 0.350 0.218 0.953
35 H 0.231 0.683 0.063
36 H 0.269 0.683 0.563
37 O 0.005 0.791 0.303
38 O 0.995 0.209 0.697
39 H 0.093 0.792 0.178
40 V 0.500 0.000 0.500
41 H 0.842 0.790 0.309
42 H 0.650 0.782 0.047
43 H 0.150 0.218 0.453
44 H 0.850 0.782 0.547

Results
Theoretical density: 1.9 g cm⁻³
DFT total energy: -6.654 eV/atom


Record 9
This record from the Alexandria database describes ZnH6Cl2O3 at its PBEsol-relaxed geometry. The functional is SCAN.

Lattice parameters (Å, degrees): 6.413 6.622 13.855 91.74 101.14 97.66
Element x y z (fractional)
1 O 0.385 0.545 0.850
2 O 0.600 0.594 0.369
3 H 0.150 0.450 0.358
4 O 0.568 0.211 0.961
5 Zn 0.133 0.900 0.239
6 H 0.502 0.393 0.693
7 Cl 0.028 0.930 0.384
8 H 0.277 0.298 0.628
9 Zn 0.500 0.500 0.000
10 O 0.615 0.455 0.150
11 H 0.858 0.587 0.932
12 H 0.146 0.248 0.416
13 H 0.850 0.550 0.642
14 H 0.498 0.607 0.307
15 H 0.142 0.413 0.068
16 H 0.145 0.236 0.986
17 Cl 0.521 0.960 0.753
18 H 0.465 0.859 0.106
19 O 0.808 0.618 0.993
20 H 0.325 0.858 0.997
21 O 0.810 0.602 0.576
22 H 0.296 0.834 0.487
23 H 0.535 0.141 0.894
24 H 0.855 0.764 0.014
25 O 0.432 0.789 0.039
26 O 0.190 0.398 0.424
27 O 0.577 0.213 0.472
28 Cl 0.877 0.445 0.785
29 Cl 0.972 0.070 0.616
30 H 0.563 0.326 0.177
31 H 0.675 0.142 0.003
32 H 0.574 0.171 0.403
33 O 0.423 0.787 0.528
34 H 0.774 0.474 0.169
35 H 0.854 0.752 0.584
36 O 0.400 0.406 0.631
37 H 0.437 0.674 0.823
38 H 0.226 0.526 0.831
39 Zn 0.500 0.500 0.500
40 Cl 0.074 0.969 0.885
41 H 0.704 0.166 0.513
42 Cl 0.123 0.555 0.215
43 Cl 0.479 0.040 0.247
44 Zn 0.867 0.100 0.761
45 H 0.723 0.702 0.372
46 O 0.192 0.382 0.007
47 H 0.426 0.829 0.597
48 Cl 0.926 0.031 0.115

Results
Theoretical density: 2.2 g cm⁻³
DFT total energy: -6.851 eV/atom